1.
Computed, not measured: crystalline Na4HfSe4 at its relaxed geometry at the GGA-PBE level of DFT.

Summary:
raw formation energy = -1.16 eV/atom
calculated volume = 598.78 Å³/cell

Cell: 6.968 6.968 12.332 Å, 90.00 90.00 90.00°
Space group I-42m (No. 121)
Unique sites:
Na  0.000  0.000  0.208 x4
Na  0.000  0.500  0.000 x4
Hf  0.000  0.000  0.500 x2
Se  0.209  0.209  0.619 x8

=====

2.
Computed, not measured: crystalline Pr5SbPd2 at its relaxed geometry at the GGA-PBE level of DFT.

Summary:
raw formation energy = -0.68 eV/atom
calculated volume = 926.50 Å³/cell

Cell: 8.201 8.201 13.776 Å, 90.00 90.00 90.00°
Space group I4/mcm (No. 140)
Unique sites:
Pr  0.000  0.000  0.000 x4
Pr  0.157  0.343  0.142 x16
Sb  0.000  0.000  0.250 x4
Pd  0.132  0.368  0.500 x8

=====

3.
Computed, not measured: crystalline PrNd2Co6 at its relaxed geometry at the GGA-PBE level of DFT.

Summary:
total energy = -6.393 eV/atom
calculated volume = 167.93 Å³/cell

Cell: 6.7610 6.7610 4.2421 Å, 90.00 90.00 120.00°
Space group P6/mmm (No. 191)
Unique sites:
Pr  0.0000  0.0000  0.0000 x1
Nd  0.3333  0.6667  0.0000 x2
Co  0.0000  0.3338  0.5000 x6

=====

| no. | M_tot (μB per formula unit) |
| --- | --- |
| 1 | 0.0 |
| 2 | 0.0 |
| 3 | 4.6 |